Model w:
Below is AsP3 after structural relaxation, with properties calculated at the PBE level.

Cell and atoms, written as POSCAR:
```
AsP3
1.0
5.044 0.000 0.000
0.000 5.044 0.000
0.000 0.000 5.044
As P
2 6
direct
0.000 0.000 0.000 As
0.500 0.500 0.500 As
0.750 0.500 0.000 P
0.250 0.500 0.000 P
0.000 0.750 0.500 P
0.000 0.250 0.500 P
0.500 0.000 0.250 P
0.500 0.000 0.750 P
```

Properties
calculated volume = 128 Å³/cell
space-group type = No. 223

Model x:
Below is AsP3 after structural relaxation, with properties calculated at the PBE level.

Cell and atoms, written as POSCAR:
```
AsP3
1.0
4.438 0.000 0.000
2.219 3.843 0.000
2.219 1.281 3.623
As P
1 3
direct
0.000 0.000 0.000 As
0.750 0.750 0.750 P
0.500 0.500 0.500 P
0.250 0.250 0.250 P
```

Properties
calculated volume = 62 Å³/cell
space-group type = No. 225

Model y:
Below is AsP3 after structural relaxation, with properties calculated at the PBE level.

Cell and atoms, written as POSCAR:
```
AsP3
1.0
4.899 0.000 0.000
0.000 5.021 0.000
0.000 0.000 5.893
As P
2 6
direct
0.000 0.000 0.610 As
0.500 0.500 0.390 As
0.000 0.500 0.649 P
0.500 0.000 0.351 P
0.275 0.000 0.992 P
0.725 0.000 0.992 P
0.775 0.500 0.008 P
0.225 0.500 0.008 P
```

Properties
calculated volume = 145 Å³/cell
space-group type = No. 59

Model z:
Below is AsP3 after structural relaxation, with properties calculated at the PBE level.

Cell and atoms, written as POSCAR:
```
AsP3
1.0
-3.109 1.360 -1.175
-1.137 -3.922 -1.530
-2.176 -2.169 3.247
As P
1 3
direct
0.000 0.000 0.000 As
0.500 0.770 0.708 P
0.000 0.500 0.500 P
0.500 0.230 0.292 P
```

Properties
calculated volume = 67 Å³/cell
space-group type = No. 10

model z is the most stable structure shown above.